A plane-wave DFT calculation with GGA+U was carried out for crystalline Hf3WF at its relaxed geometry.

Output
DOS(E_F), states/eV per atom: 0.999
Energy above the most stable polymorph in this dataset, eV/atom: 0.000
Space-group type: Pm-3m (221)
Total magnetization, μB/f.u.: 0.00
Total energy, eV/atom: -7.937

CIF file:
```
data_Hf3WF
_cell_length_a 4.487
_cell_length_b 4.487
_cell_length_c 4.487
_cell_angle_alpha 90.00
_cell_angle_beta 90.00
_cell_angle_gamma 90.00
_symmetry_space_group_name_H-M 'P 1'
_symmetry_Int_Tables_number 1
loop_
_symmetry_equiv_pos_as_xyz
'x,y,z'
loop_
_atom_site_label
_atom_site_fract_x
_atom_site_fract_y
_atom_site_fract_z
Hf1 0.000 0.000 0.500
Hf2 0.000 0.500 0.000
Hf3 0.500 0.000 0.000
W1 0.500 0.500 0.500
F1 0.000 0.000 0.000
```